PrHgPd3: optimized geometry, PBE.

## Properties
- ΔE_f: -147 kJ/mol of formula units
- Total moment: 0.000 μB per atom
- Mass density: 9.208 g/cm3

a b c (Å): 7.2199 7.2199 9.3195
angles (deg): 90.00 90.00 101.16
Last column: nearest neighbours and their distance in Å.
Positions (direct):
Pr 0.9816 0.9816 0.2500  6 Pd 2.93-3.18
Pr 0.0184 0.0184 0.7500  6 Pd 2.93-3.18
Pr 0.4025 0.4025 0.2500  8 Pd 2.86-3.00
Pr 0.5975 0.5975 0.7500  8 Pd 2.86-3.00
Hg 0.5000 0.0000 0.0000  6 Pd 2.68-2.81
Hg 0.5000 0.0000 0.5000  6 Pd 2.68-2.81
Hg 0.0000 0.5000 0.0000  6 Pd 2.68-2.81
Hg 0.0000 0.5000 0.5000  6 Pd 2.68-2.81
Pd 0.8180 0.5624 0.2500  2 Hg 2.75, 5 Pd 2.85-2.91, 2 Pr 3.00-3.03
Pd 0.1820 0.4376 0.7500  2 Hg 2.75, 5 Pd 2.85-2.91, 2 Pr 3.00-3.03
Pd 0.4376 0.1820 0.7500  2 Hg 2.75, 5 Pd 2.85-2.91, 2 Pr 3.00-3.03
Pd 0.5624 0.8180 0.2500  2 Hg 2.75, 5 Pd 2.85-2.91, 2 Pr 3.00-3.03
Pd 0.2150 0.2150 0.5022  2 Hg 2.81, 4 Pd 2.85-2.97, 2 Pr 2.91-2.93
Pd 0.7850 0.7850 0.0022  2 Hg 2.81, 4 Pd 2.85-2.97, 2 Pr 2.91-2.93
Pd 0.7850 0.7850 0.4978  2 Hg 2.81, 4 Pd 2.85-2.97, 2 Pr 2.91-2.93
Pd 0.2150 0.2150 0.9978  2 Hg 2.81, 4 Pd 2.85-2.97, 2 Pr 2.91-2.93
Pd 0.3739 0.6261 0.0000  2 Hg 2.68, 5 Pd 2.81-2.97, 2 Pr 2.86
Pd 0.6261 0.3739 0.5000  2 Hg 2.68, 5 Pd 2.81-2.97, 2 Pr 2.86
Pd 0.6261 0.3739 0.0000  2 Hg 2.68, 5 Pd 2.81-2.97, 2 Pr 2.86
Pd 0.3739 0.6261 0.5000  2 Hg 2.68, 5 Pd 2.81-2.97, 2 Pr 2.86